No. 1
First-principles (GGA-PBEsol) data for crystalline K2SrCrMo at its relaxed geometry, as listed in the Alexandria database.

* DOS(E_F): 3.45 states/eV per cell
* M_tot: 0.117 μB per atom
* formation enthalpy at 0 K: 1.30 eV/atom
* electronic total energy: -3.927 eV per atom

Cell: 4.506 6.470 6.470 Å, 90.00 90.00 90.00°
Last column: magnetic moment on the atom in μB.
Sites, in units of the cell vectors:
Cr1 0.500 0.000 0.000  2.75
Sr1 0.500 0.500 0.500  0.01
K1 0.000 0.500 0.000  -0.02
K2 0.000 0.000 0.500  -0.02
Mo1 0.000 0.000 0.000  -2.23


No. 2
First-principles (GGA-PBEsol) data for crystalline LiPtW2 at its relaxed geometry, as listed in the Alexandria database.

* DOS(E_F): 2.68 states/eV per cell
* M_tot: 0.000 μB per atom
* formation enthalpy at 0 K: 0.17 eV/atom
* electronic total energy: -8.962 eV per atom

Cell: 2.656 4.982 4.982 Å, 117.64 90.00 90.00°
Sites, in units of the cell vectors:
Pt1 0.500 0.500 0.500
W1 0.000 0.000 0.500
W2 0.000 0.500 0.000
Li1 0.500 0.000 0.000